MgIn2S4 | Alexandria via LeMat-Bulk | PBE | relaxed; E = -4.19 eV per atom; formation energy without anion corrections = -0.822 eV per atom
1.0
6.8467 -0.0079 0.0015
0.0143 7.8954 0.0083
-1.1597 -2.0150 13.1599
Mg In S
4 8 16
Direct
0.8684 0.8034 0.7113
0.1316 0.1966 0.2887
0.7509 0.6258 0.9983
0.2491 0.3742 0.0017
0.8619 0.3034 0.7126
0.1381 0.6966 0.2874
0.7601 0.1246 0.0002
0.2399 0.8754 0.9998
0.6288 0.4417 0.2859
0.3712 0.5583 0.7141
0.6286 0.9512 0.2900
0.3714 0.0488 0.7100
0.9025 0.3542 0.8992
0.0975 0.6458 0.1008
0.8953 0.8464 0.8964
0.1047 0.1536 0.1036
0.8148 0.2169 0.3651
0.1852 0.7831 0.6349
0.8122 0.7151 0.3650
0.1878 0.2849 0.6350
0.6913 0.0311 0.6340
0.3087 0.9689 0.3660
0.6893 0.5366 0.6354
0.3107 0.4634 0.3646
0.5988 0.8975 0.1017
0.4012 0.1025 0.8983
0.6002 0.4016 0.0989
0.3998 0.5984 0.9011